Record 1
A geometry-optimized NaGeAu3 structure. Source: OQMD, functional PBE-GGA.

The space group is Pa-3 (No. 205) and the conventional cell measures 9.1890, 9.1890 and 9.1890 Å, with angles of 90.00, 90.00 and 90.00 degrees. The distinct sites, in fractional coordinates, are Na at (0.0988, 0.0988, 0.0988), Ge at (0.1118, 0.6118, 0.8882) and Au at (0.0901, 0.7311, 0.1396).

The value obtained for the calculated volume is 19.398 Å³ per atom.

Record 2
A geometry-optimized NaGe2Au2 structure. Source: OQMD, functional PBE-GGA.

The space group is I4/mmm (No. 139) and the conventional cell measures 4.4815, 4.4815 and 11.0935 Å, with angles of 90.00, 90.00 and 90.00 degrees. The distinct sites, in fractional coordinates, are Na at (0.0000, 0.0000, 0.0000), Ge at (0.0000, 0.5000, 0.2500) and Au at (0.0000, 0.0000, 0.3757).

For the energy above the most stable polymorph in this dataset, the calculation gives 0.068 eV/atom. The value obtained for the calculated volume is 22.280 Å³ per atom.

Record 3
A geometry-optimized NaGeAu structure. Source: OQMD, functional PBE-GGA.

The space group is F-43m (No. 216) and the conventional cell measures 6.4427, 6.4427 and 6.4427 Å, with angles of 90.00, 90.00 and 90.00 degrees. The distinct sites, in fractional coordinates, are Na at (0.0000, 0.0000, 0.0000), Ge at (0.0000, 0.0000, 0.5000) and Au at (0.2500, 0.2500, 0.7500).

The value obtained for the calculated volume is 22.286 Å³ per atom.

Record 4
A geometry-optimized NaGe2Au2 structure. Source: OQMD, functional PBE-GGA.

The space group is I4/mmm (No. 139) and the conventional cell measures 4.5574, 4.5574 and 10.2490 Å, with angles of 90.00, 90.00 and 90.00 degrees. The distinct sites, in fractional coordinates, are Na at (0.0000, 0.0000, 0.0000), Ge at (0.0000, 0.0000, 0.3773) and Au at (0.0000, 0.5000, 0.2500).

For the energy above the most stable polymorph in this dataset, the calculation gives 0.000 eV/atom. The value obtained for the calculated volume is 21.287 Å³ per atom.

Record 5
A geometry-optimized NaGe5Au3 structure. Source: OQMD, functional PBE-GGA.

The space group is P6/mmm (No. 191) and the conventional cell measures 5.7020, 5.7020 and 7.3384 Å, with angles of 90.00, 90.00 and 120.00 degrees. The distinct sites, in fractional coordinates, are Na at (0.0000, 0.0000, 0.0000), Ge at (0.0000, 0.0000, 0.5000), Ge at (0.3333, 0.6667, 0.1958) and Au at (0.0000, 0.5000, 0.5000).

The value obtained for the calculated volume is 22.959 Å³ per atom.

Record 6
A geometry-optimized NaGeAu structure. Source: OQMD, functional PBE-GGA.

The space group is F-43m (No. 216) and the conventional cell measures 6.4779, 6.4779 and 6.4779 Å, with angles of 90.00, 90.00 and 90.00 degrees. The distinct sites, in fractional coordinates, are Na at (0.0000, 0.0000, 0.0000), Ge at (0.2500, 0.2500, 0.2500) and Au at (0.2500, 0.2500, 0.7500).

The value obtained for the calculated volume is 22.653 Å³ per atom.

Record 7
A geometry-optimized Na4NiGe2Au structure. Source: OQMD, functional PBE-GGA.

The space group is P-4m2 (No. 115) and the conventional cell measures 4.6961, 4.6961 and 6.7687 Å, with angles of 90.00, 90.00 and 90.00 degrees. The distinct sites, in fractional coordinates, are Na at (0.0000, 0.0000, 0.0000), Na at (0.0000, 0.5000, 0.7444), Na at (0.5000, 0.5000, 0.5000), Ni at (0.0000, 0.0000, 0.5000), Ge at (0.0000, 0.5000, 0.2760) and Au at (0.5000, 0.5000, 0.0000).

The value obtained for the calculated volume is 18.659 Å³ per atom.

Record 8
A geometry-optimized NaGe2AuO6 structure. Source: OQMD, functional PBE-GGA.

The space group is C2/c (No. 15) and the conventional cell measures 11.1594, 8.1836 and 5.5705 Å, with angles of 90.00, 110.25 and 90.00 degrees. The distinct sites, in fractional coordinates, are Na at (0.0000, 0.1667, 0.2500), Ge at (0.2334, 0.1020, 0.7657), Au at (0.0000, 0.3355, 0.7500), O at (0.1015, 0.3613, 0.1253), O at (0.1601, 0.0062, 0.9690) and O at (0.1632, 0.3006, 0.6726).

The value obtained for the calculated volume is 11.932 Å³ per atom.

Record 9
A geometry-optimized NaGeAu3O4 structure. Source: OQMD, functional PBE-GGA.

The space group is P-43m (No. 215) and the conventional cell measures 5.2784, 5.2784 and 5.2784 Å, with angles of 90.00, 90.00 and 90.00 degrees. The distinct sites, in fractional coordinates, are Na at (0.0000, 0.0000, 0.0000), Ge at (0.5000, 0.5000, 0.5000), Au at (0.0000, 0.5000, 0.5000) and O at (0.2484, 0.2484, 0.2484).

The value obtained for the calculated volume is 16.341 Å³ per atom.

Record 10
A geometry-optimized NaGeAuO3 structure. Source: OQMD, functional PBE-GGA.

The space group is Pnma (No. 62) and the conventional cell measures 10.1278, 2.9989 and 10.0907 Å, with angles of 90.00, 90.00 and 90.00 degrees. The distinct sites, in fractional coordinates, are Na at (0.2345, 0.2500, 0.1424), Ge at (0.0339, 0.2500, 0.3752), Au at (0.0382, 0.2500, 0.9063), O at (0.0862, 0.7500, 0.7662), O at (0.0925, 0.2500, 0.5502) and O at (0.1325, 0.7500, 0.3146).

The value obtained for the calculated volume is 12.770 Å³ per atom.

Record 11
A geometry-optimized Na4Ge2PtAu structure. Source: OQMD, functional PBE-GGA.

The space group is P-4m2 (No. 115) and the conventional cell measures 4.7411, 4.7411 and 6.7536 Å, with angles of 90.00, 90.00 and 90.00 degrees. The distinct sites, in fractional coordinates, are Na at (0.0000, 0.0000, 0.0000), Na at (0.0000, 0.5000, 0.7492), Na at (0.5000, 0.5000, 0.5000), Ge at (0.0000, 0.5000, 0.2238), Pt at (0.5000, 0.5000, 0.0000) and Au at (0.0000, 0.0000, 0.5000).

The value obtained for the calculated volume is 18.976 Å³ per atom.

Record 12
A geometry-optimized NaGeAuS3 structure. Source: OQMD, functional PBE-GGA.

The space group is Cmcm (No. 63) and the conventional cell measures 3.5324, 14.4885 and 9.8430 Å, with angles of 90.00, 90.00 and 90.00 degrees. The distinct sites, in fractional coordinates, are Na at (0.0000, 0.1973, 0.2500), Ge at (0.0000, 0.5000, 0.0000), Au at (0.0000, 0.1328, 0.7500), S at (0.0000, 0.1209, 0.5166) and S at (0.0000, 0.4558, 0.7500).

The value obtained for the calculated volume is 20.990 Å³ per atom.

Record 13
A geometry-optimized NaGeAuSe2S structure. Source: OQMD, functional PBE-GGA.

The space group is Cmcm (No. 63) and the conventional cell measures 3.6777, 14.4125 and 10.2693 Å, with angles of 90.00, 90.00 and 90.00 degrees. The distinct sites, in fractional coordinates, are Na at (0.0000, 0.1957, 0.2500), Ge at (0.0000, 0.5000, 0.0000), Au at (0.0000, 0.1344, 0.7500), Se at (0.0000, 0.1293, 0.5147) and S at (0.0000, 0.4594, 0.7500).

The value obtained for the calculated volume is 22.680 Å³ per atom.

Record 14
A geometry-optimized NaGeTeAuS2 structure. Source: OQMD, functional PBE-GGA.

The space group is Cmcm (No. 63) and the conventional cell measures 3.5152, 15.5126 and 10.8111 Å, with angles of 90.00, 90.00 and 90.00 degrees. The distinct sites, in fractional coordinates, are Na at (0.0000, 0.2284, 0.2500), Ge at (0.0000, 0.5000, 0.0000), Te at (0.0000, 0.4388, 0.7500), Au at (0.0000, 0.1169, 0.7500) and S at (0.0000, 0.1138, 0.5353).

The value obtained for the calculated volume is 24.563 Å³ per atom.

Record 15
A geometry-optimized NaGeTe2AuS structure. Source: OQMD, functional PBE-GGA.

The space group is Cmcm (No. 63) and the conventional cell measures 4.2721, 12.5100 and 11.2135 Å, with angles of 90.00, 90.00 and 90.00 degrees. The distinct sites, in fractional coordinates, are Na at (0.0000, 0.2119, 0.2500), Ge at (0.0000, 0.5000, 0.0000), Te at (0.0000, 0.1550, 0.5237), Au at (0.0000, 0.0756, 0.7500) and S at (0.0000, 0.4663, 0.7500).

The value obtained for the calculated volume is 24.971 Å³ per atom.

Record 16
A geometry-optimized Na4GeSbAu2 structure. Source: OQMD, functional PBE-GGA.

The space group is P-4m2 (No. 115) and the conventional cell measures 4.8748, 4.8748 and 7.0741 Å, with angles of 90.00, 90.00 and 90.00 degrees. The distinct sites, in fractional coordinates, are Na at (0.0000, 0.0000, 0.0000), Na at (0.0000, 0.5000, 0.7349), Na at (0.5000, 0.5000, 0.5000), Ge at (0.0000, 0.0000, 0.5000), Sb at (0.5000, 0.5000, 0.0000) and Au at (0.0000, 0.5000, 0.2712).

The value obtained for the calculated volume is 21.013 Å³ per atom.

Record 17
A geometry-optimized NaGeTeAuSe2 structure. Source: OQMD, functional PBE-GGA.

The space group is Cmcm (No. 63) and the conventional cell measures 3.6268, 15.4304 and 11.0500 Å, with angles of 90.00, 90.00 and 90.00 degrees. The distinct sites, in fractional coordinates, are Na at (0.0000, 0.2216, 0.2500), Ge at (0.0000, 0.5000, 0.0000), Te at (0.0000, 0.4477, 0.7500), Au at (0.0000, 0.1240, 0.7500) and Se at (0.0000, 0.1240, 0.5276).

The value obtained for the calculated volume is 25.766 Å³ per atom.

Record 18
A geometry-optimized Na4SiGeAu2 structure. Source: OQMD, functional PBE-GGA.

The space group is P-4m2 (No. 115) and the conventional cell measures 4.7835, 4.7835 and 6.7696 Å, with angles of 90.00, 90.00 and 90.00 degrees. The distinct sites, in fractional coordinates, are Na at (0.0000, 0.0000, 0.0000), Na at (0.0000, 0.5000, 0.7483), Na at (0.5000, 0.5000, 0.5000), Si at (0.0000, 0.0000, 0.5000), Ge at (0.5000, 0.5000, 0.0000) and Au at (0.0000, 0.5000, 0.2625).

The value obtained for the calculated volume is 19.362 Å³ per atom.

Record 19
A geometry-optimized Na4SnGeAu2 structure. Source: OQMD, functional PBE-GGA.

The space group is P-4m2 (No. 115) and the conventional cell measures 4.8910, 4.8910 and 7.0284 Å, with angles of 90.00, 90.00 and 90.00 degrees. The distinct sites, in fractional coordinates, are Na at (0.0000, 0.0000, 0.0000), Na at (0.0000, 0.5000, 0.7329), Na at (0.5000, 0.5000, 0.5000), Sn at (0.5000, 0.5000, 0.0000), Ge at (0.0000, 0.0000, 0.5000) and Au at (0.0000, 0.5000, 0.2588).

The value obtained for the calculated volume is 21.016 Å³ per atom.

Record 20
A geometry-optimized NaGeTe3Au structure. Source: OQMD, functional PBE-GGA.

The space group is Cmcm (No. 63) and the conventional cell measures 3.7189, 15.3281 and 11.6211 Å, with angles of 90.00, 90.00 and 90.00 degrees. The distinct sites, in fractional coordinates, are Na at (0.0000, 0.2239, 0.2500), Ge at (0.0000, 0.5000, 0.0000), Te at (0.0000, 0.1399, 0.5241), Te at (0.0000, 0.4548, 0.7500) and Au at (0.0000, 0.1208, 0.7500).

The value obtained for the calculated volume is 27.602 Å³ per atom.

Result set for E_tot: -3.3971; -3.5141; -3.1301; -3.5819; -3.5832; -2.7142; -2.9230; -5.5468; -3.8982; -5.1799; -3.1534; -3.9062; -3.6586; -3.7174; -3.4670; -2.8391; -3.5039; -2.8412; -2.7784; -3.3171 eV/atom, one per record in the order listed.